Material: Dy12Er3Tl
Method: DFT, PBE
State: optimized geometry

Unit cell a=4.9401 b=4.9401 c=20.0770 alpha=90.00 beta=90.00 gamma=90.00
Fractional positions:
Dy1 0.5000 0.5000 0.2457
Dy2 0.5000 0.0000 0.6261
Dy3 0.0000 0.5000 0.8775
Dy4 0.0000 0.5000 0.1225
Dy5 0.0000 0.5000 0.3739
Dy6 0.5000 0.0000 0.8775
Dy7 0.5000 0.0000 0.3739
Dy8 0.5000 0.0000 0.1225
Dy9 0.0000 0.5000 0.6261
Dy10 0.5000 0.5000 0.7543
Dy11 0.5000 0.5000 0.0000
Dy12 0.5000 0.5000 0.5000
Er1 0.0000 0.0000 0.7509
Er2 0.0000 0.0000 0.5000
Er3 0.0000 0.0000 0.2491
Tl1 0.0000 0.0000 0.0000

Output
E_form = -0.03 eV/atom
mass density = 9.0 g/cm³
crystal system = tetragonal
space group = P4/mmm, No. 123

---

Material: DyErTl2
Method: DFT, PBE
State: optimized geometry

Unit cell a=5.3513 b=5.3513 c=5.3513 alpha=59.99 beta=59.99 gamma=60.00
Fractional positions:
Tl1 0.5000 0.5000 0.5000
Tl2 0.0000 0.0000 0.0000
Dy1 0.2500 0.2500 0.2500
Er1 0.7500 0.7500 0.7500

Output
E_form = -0.33 eV/atom
mass density = 11.3 g/cm³
crystal system = cubic
space group = Fm-3m, No. 225

---

Material: Dy5ErTl6
Method: DFT, PBE
State: optimized geometry

Unit cell a=5.0858 b=9.8594 c=9.0415 alpha=56.96 beta=73.68 gamma=58.97
Fractional positions:
Tl1 0.7506 0.0832 0.3325
Tl2 0.2494 0.9168 0.6675
Tl3 0.7506 0.4157 0.6675
Tl4 0.2510 0.2490 0.0000
Tl5 0.2494 0.5843 0.3325
Tl6 0.7490 0.7510 0.0000
Dy1 0.5000 0.5000 0.0000
Dy2 0.0000 0.6664 0.6671
Dy3 0.5000 0.1668 0.6665
Dy4 0.5000 0.8332 0.3335
Dy5 0.0000 0.3336 0.3329
Er1 0.0000 0.0000 0.0000

Output
E_form = -0.33 eV/atom
mass density = 11.2 g/cm³
crystal system = orthorhombic
space group = Immm, No. 71

---

Material: Dy12ErTl3
Method: DFT, PBE
State: optimized geometry

Unit cell a=4.8573 b=4.8573 c=19.8216 alpha=90.00 beta=90.00 gamma=90.00
Fractional positions:
Er1 0.0000 0.0000 0.0000
Dy1 0.5000 0.5000 0.7460
Dy2 0.5000 0.0000 0.1292
Dy3 0.5000 0.5000 0.0000
Dy4 0.0000 0.5000 0.6232
Dy5 0.5000 0.5000 0.2540
Dy6 0.5000 0.0000 0.8708
Dy7 0.5000 0.5000 0.5000
Dy8 0.5000 0.0000 0.6232
Dy9 0.5000 0.0000 0.3768
Dy10 0.0000 0.5000 0.3768
Dy11 0.0000 0.5000 0.8708
Dy12 0.0000 0.5000 0.1292
Tl1 0.0000 0.0000 0.7436
Tl2 0.0000 0.0000 0.5000
Tl3 0.0000 0.0000 0.2564

Output
E_form = -0.13 eV/atom
mass density = 9.7 g/cm³
crystal system = tetragonal
space group = P4/mmm, No. 123

---

Material: Dy6Er2Tl
Method: DFT, PBE
State: optimized geometry

Unit cell a=6.0954 b=11.2520 c=11.2520 alpha=47.78 beta=105.74 gamma=105.74
Fractional positions:
Dy1 0.5810 0.5814 0.0808
Dy2 0.9190 0.9192 0.4186
Dy3 0.7227 0.5066 0.6520
Dy4 0.7773 0.3480 0.4935
Dy5 0.2773 0.4934 0.3480
Dy6 0.9337 0.1533 0.0059
Dy7 0.2227 0.6520 0.5065
Dy8 0.0810 0.0808 0.5814
Dy9 0.4337 0.0059 0.1533
Dy10 0.5663 0.9941 0.8467
Dy11 0.4190 0.4186 0.9192
Dy12 0.0663 0.8467 0.9941
Er1 0.5634 0.8289 0.6705
Er2 0.4366 0.1711 0.3295
Er3 0.0634 0.6705 0.8288
Er4 0.9366 0.3295 0.1712
Tl1 0.2500 0.2490 0.7510
Tl2 0.7500 0.7510 0.2490

Output
E_form = 0.02 eV/atom
mass density = 9.2 g/cm³
crystal system = monoclinic
space group = C2/c, No. 15

---

Material: Dy12Er6Tl
Method: DFT, PBE
State: optimized geometry

Unit cell a=8.4185 b=8.4185 c=8.4185 alpha=88.74 beta=88.74 gamma=88.74
Fractional positions:
Dy1 0.8174 0.6364 0.9874
Dy2 0.4608 0.5668 0.2191
Dy3 0.5668 0.2191 0.4608
Dy4 0.5392 0.4332 0.7809
Dy5 0.1826 0.3636 0.0126
Dy6 0.2191 0.4608 0.5668
Dy7 0.0126 0.1826 0.3636
Dy8 0.6364 0.9874 0.8174
Dy9 0.7809 0.5392 0.4332
Dy10 0.4332 0.7809 0.5392
Dy11 0.3636 0.0126 0.1826
Dy12 0.9874 0.8174 0.6364
Er1 0.0970 0.7069 0.2584
Er2 0.2584 0.0970 0.7069
Er3 0.2931 0.7416 0.9030
Er4 0.7069 0.2584 0.0970
Er5 0.9030 0.2931 0.7416
Er6 0.7416 0.9030 0.2931
Tl1 0.0000 0.0000 0.0000

Output
E_form = 0.09 eV/atom
mass density = 8.8 g/cm³
crystal system = trigonal
space group = R-3, No. 148

---

Material: Dy6Er2Tm3Tl
Method: DFT, PBE
State: optimized geometry

Unit cell a=6.0623 b=6.0623 c=11.5590 alpha=95.05 beta=95.05 gamma=120.08
Fractional positions:
Dy1 0.0821 0.4125 0.2488
Dy2 0.4125 0.0821 0.2488
Dy3 0.7519 0.7519 0.2502
Dy4 0.2481 0.2481 0.7498
Dy5 0.5875 0.9179 0.7512
Dy6 0.9179 0.5875 0.7512
Tl1 0.0000 0.0000 0.0000
Tm1 0.5000 0.5000 0.5000
Tm2 0.1669 0.8331 0.5000
Tm3 0.8331 0.1669 0.5000
Er1 0.6659 0.3341 0.0000
Er2 0.3341 0.6659 0.0000

Output
E_form = -0.01 eV/atom
mass density = 9.3 g/cm³
crystal system = monoclinic
space group = C2/m, No. 12

---

Material: DyErTmTl
Method: DFT, PBE
State: optimized geometry

Unit cell a=5.4271 b=5.4271 c=5.4271 alpha=60.00 beta=60.00 gamma=60.00
Site moments in Bohr magnetons follow the coordinates.
Fractional positions:
Tm1 0.5000 0.5000 0.5000  0.36
Er1 0.7500 0.7500 0.7500  0.32
Tl1 0.0000 0.0000 0.0000  0.01
Dy1 0.2500 0.2500 0.2500  0.30

Output
E_form = -0.02 eV/atom
mass density = 10.3 g/cm³
crystal system = cubic
space group = F-43m, No. 216

---

Material: DyErTm2Tl2
Method: DFT, PBE
State: optimized geometry

Unit cell a=5.0396 b=6.7801 c=9.8737 alpha=90.00 beta=90.00 gamma=90.00
Fractional positions:
Tl1 0.5000 0.7161 0.6342
Tl2 0.0000 0.2991 0.8682
Tl3 0.5000 0.2161 0.3658
Tl4 0.0000 0.7991 0.1318
Tm1 0.0000 0.3380 0.1864
Tm2 0.5000 0.0536 0.0424
Tm3 0.0000 0.8380 0.8136
Tm4 0.5000 0.5536 0.9576
Dy1 0.0000 0.4609 0.5421
Dy2 0.0000 0.9609 0.4579
Er1 0.5000 0.6780 0.3099
Er2 0.5000 0.1780 0.6901

Output
E_form = -0.26 eV/atom
mass density = 10.6 g/cm³
crystal system = orthorhombic
space group = Pmc2_1, No. 26

---

Material: Dy2ErTmTl4
Method: DFT, PBE
State: optimized geometry

Unit cell a=5.3436 b=5.3436 c=9.2752 alpha=73.26 beta=73.26 gamma=60.00
Fractional positions:
Tl1 0.8748 0.8748 0.3755
Tl2 0.1252 0.1252 0.6245
Tl3 0.6248 0.6248 0.1255
Tl4 0.3752 0.3752 0.8745
Tm1 0.5000 0.5000 0.5000
Dy1 0.7501 0.7501 0.7497
Dy2 0.2499 0.2499 0.2503
Er1 0.0000 0.0000 0.0000

Output
E_form = -0.32 eV/atom
mass density = 11.4 g/cm³
crystal system = trigonal
space group = R-3m, No. 166

---

Material: DyErTmTl
Method: DFT, PBE
State: optimized geometry

Unit cell a=4.8232 b=4.8186 c=4.8069 alpha=90.00 beta=90.00 gamma=90.00
Site moments in Bohr magnetons follow the coordinates.
Fractional positions:
Tm1 0.0000 0.5000 0.5000  0.19
Tl1 0.0000 0.0000 0.0000  -0.01
Er1 0.5000 0.0000 0.5000  0.19
Dy1 0.5000 0.5000 0.0000  0.18

Output
E_form = -0.17 eV/atom
mass density = 10.5 g/cm³
crystal system = orthorhombic
space group = Pmmm, No. 47

---

Material: DyErTm2Tl4
Method: DFT, PBE
State: optimized geometry

Unit cell a=5.3275 b=5.3275 c=9.2541 alpha=73.27 beta=73.27 gamma=60.00
Fractional positions:
Dy1 0.5000 0.5000 0.5000
Er1 0.0000 0.0000 0.0000
Tm1 0.7497 0.7497 0.7508
Tm2 0.2503 0.2503 0.2492
Tl1 0.3747 0.3747 0.8759
Tl2 0.8754 0.8754 0.3739
Tl3 0.1246 0.1246 0.6261
Tl4 0.6253 0.6253 0.1241

Output
E_form = -0.31 eV/atom
mass density = 11.5 g/cm³
crystal system = trigonal
space group = R-3m, No. 166

---

Material: DyYErTl
Method: DFT, PBE
State: optimized geometry

Unit cell a=4.8385 b=4.8647 c=4.8271 alpha=90.00 beta=90.00 gamma=90.00
Site moments in Bohr magnetons follow the coordinates.
Fractional positions:
Er1 0.5000 0.5000 0.0000  0.27
Tl1 0.5000 0.0000 0.5000  -0.01
Y1 0.0000 0.0000 0.0000  0.20
Dy1 0.0000 0.5000 0.5000  0.26

Output
E_form = -0.18 eV/atom
mass density = 9.1 g/cm³
crystal system = orthorhombic
space group = Pmmm, No. 47

---

Material: DyYEr2Tl2
Method: DFT, PBE
State: optimized geometry

Unit cell a=5.0634 b=6.8237 c=9.9180 alpha=90.00 beta=90.00 gamma=90.00
Fractional positions:
Y1 0.0000 0.9599 0.4564
Y2 0.0000 0.4599 0.5436
Tl1 0.5000 0.7154 0.6342
Tl2 0.0000 0.7996 0.1306
Tl3 0.0000 0.2996 0.8694
Tl4 0.5000 0.2154 0.3658
Dy1 0.5000 0.1775 0.6896
Dy2 0.5000 0.6775 0.3104
Er1 0.5000 0.5550 0.9572
Er2 0.0000 0.3382 0.1871
Er3 0.0000 0.8382 0.8129
Er4 0.5000 0.0550 0.0428

Output
E_form = -0.27 eV/atom
mass density = 9.6 g/cm³
crystal system = orthorhombic
space group = Pmc2_1, No. 26

---

Material: DyYErTl
Method: DFT, PBE
State: optimized geometry

Unit cell a=5.4577 b=5.4577 c=5.4577 alpha=60.00 beta=60.00 gamma=60.00
Site moments in Bohr magnetons follow the coordinates.
Fractional positions:
Er1 0.0000 0.0000 0.0000  0.42
Y1 0.7500 0.7500 0.7500  0.26
Tl1 0.5000 0.5000 0.5000  0.00
Dy1 0.2500 0.2500 0.2500  0.33

Output
E_form = -0.04 eV/atom
mass density = 9.0 g/cm³
crystal system = cubic
space group = F-43m, No. 216

---

Material: DyErTlZn
Method: DFT, PBE
State: optimized geometry

Unit cell a=5.2035 b=5.2035 c=5.2035 alpha=60.00 beta=60.00 gamma=60.00
Fractional positions:
Zn1 0.0000 0.0000 0.0000
Er1 0.2500 0.2500 0.2500
Tl1 0.5000 0.5000 0.5000
Dy1 0.7500 0.7500 0.7500

Output
E_form = -0.32 eV/atom
mass density = 10.0 g/cm³
crystal system = cubic
space group = F-43m, No. 216

---

Material: DyErTlZn
Method: DFT, PBE
State: optimized geometry

Unit cell a=3.6502 b=3.6502 c=7.3917 alpha=90.00 beta=90.00 gamma=90.00
Fractional positions:
Tl1 0.5000 0.5000 0.1104
Dy1 0.0000 0.0000 0.8359
Er1 0.0000 0.0000 0.3787
Zn1 0.5000 0.5000 0.6030

Output
E_form = -0.35 eV/atom
mass density = 10.1 g/cm³
crystal system = tetragonal
space group = P4mm, No. 99

---

Material: Dy2ErTm
Method: DFT, PBE
State: optimized geometry

Unit cell a=3.5116 b=3.5116 c=9.9342 alpha=90.00 beta=90.00 gamma=90.00
Fractional positions:
Er1 0.5000 0.5000 0.5000
Tm1 0.5000 0.5000 0.0000
Dy1 0.0000 0.0000 0.2494
Dy2 0.0000 0.0000 0.7506

Output
E_form = 0.02 eV/atom
mass density = 9.0 g/cm³
crystal system = tetragonal
space group = P4/mmm, No. 123

---

Material: Dy7Er2Tm2
Method: DFT, PBE
State: optimized geometry

Unit cell a=5.9786 b=11.0977 c=7.9273 alpha=45.58 beta=105.89 gamma=113.03
Fractional positions:
Dy1 0.8243 0.5895 0.4694
Dy2 0.1757 0.4105 0.5306
Dy3 0.4117 0.7688 0.0000
Dy4 0.1757 0.9411 0.4694
Dy5 0.0000 0.0000 0.0000
Dy6 0.8243 0.0589 0.5306
Dy7 0.5883 0.2312 0.0000
Tm1 0.1987 0.4140 0.0000
Tm2 0.8013 0.5860 0.0000
Er1 0.5000 0.2175 0.5651
Er2 0.5000 0.7825 0.4349

Output
E_form = 0.17 eV/atom
mass density = 8.7 g/cm³
crystal system = monoclinic
space group = C2/m, No. 12

---

Material: Dy4ErTm10
Method: DFT, PBE
State: optimized geometry

Unit cell a=7.5703 b=9.2862 c=9.2862 alpha=80.44 beta=65.95 gamma=65.95
Fractional positions:
Tm1 0.0495 0.1006 0.2993
Tm2 0.1501 0.2993 0.8994
Tm3 0.4494 0.8994 0.7007
Tm4 0.9505 0.8994 0.7007
Tm5 0.8499 0.7007 0.1006
Tm6 0.5506 0.1006 0.2993
Tm7 0.7500 0.5000 0.5000
Tm8 0.2500 0.5000 0.5000
Tm9 0.6512 0.2993 0.8994
Tm10 0.3488 0.7007 0.1006
Dy1 0.2005 0.4000 0.1990
Dy2 0.6005 0.1990 0.6000
Dy3 0.7995 0.6000 0.8010
Dy4 0.3995 0.8010 0.4000
Er1 0.0000 0.0000 0.0000

Output
E_form = 0.73 eV/atom
mass density = 7.6 g/cm³
crystal system = tetragonal
space group = I4/m, No. 87

---

Material: Dy3ErTm3
Method: DFT, PBE
State: optimized geometry

Unit cell a=6.0949 b=6.0949 c=14.4166 alpha=77.80 beta=77.80 gamma=60.00
Fractional positions:
Tm1 0.3999 0.0659 0.8021
Tm2 0.6001 0.9341 0.1979
Tm3 0.2680 0.6001 0.1979
Tm4 0.9341 0.2680 0.1979
Tm5 0.7320 0.3999 0.8021
Tm6 0.0659 0.7320 0.8021
Dy1 0.4633 0.8012 0.6029
Dy2 0.8012 0.1326 0.6029
Dy3 0.1988 0.8674 0.3971
Dy4 0.8674 0.5367 0.3971
Dy5 0.1326 0.4633 0.6029
Dy6 0.5367 0.1988 0.3971
Er1 0.3333 0.3333 0.0001
Er2 0.6667 0.6667 0.9999

Output
E_form = 0.15 eV/atom
mass density = 8.6 g/cm³
crystal system = trigonal
space group = R-3, No. 148

---

Material: Dy2Er8Tm
Method: DFT, PBE
State: optimized geometry

Unit cell a=5.8151 b=8.9569 c=9.2676 alpha=61.10 beta=73.61 gamma=54.27
Fractional positions:
Tm1 0.5000 0.0000 0.0000
Er1 0.1921 0.9023 0.7569
Er2 0.2903 0.4410 0.0000
Er3 0.5000 0.2039 0.5922
Er4 0.5000 0.7961 0.4078
Er5 0.8078 0.0977 0.2431
Er6 0.1921 0.6591 0.2431
Er7 0.7097 0.5590 0.0000
Er8 0.8078 0.3409 0.7569
Dy1 0.0000 0.3093 0.3814
Dy2 0.0000 0.6907 0.6186

Output
E_form = 0.16 eV/atom
mass density = 8.9 g/cm³
crystal system = monoclinic
space group = C2/m, No. 12